# Pm2TiFeO6 PBE+U relaxed
# Uncorrected energy (eV for the cell shown): -79.043
# Total magnetic moment (μB/f.u.): 0.00
data_Pm2TiFeO6
_cell_length_a 5.441
_cell_length_b 5.441
_cell_length_c 4.086
_cell_angle_alpha 90.00
_cell_angle_beta 90.00
_cell_angle_gamma 90.00
_symmetry_space_group_name_H-M 'P 4 m m'
_symmetry_Int_Tables_number 99
_symmetry_space_group_name_Hall 'P 4 -2'
loop_
_atom_site_label
_atom_site_type_symbol
_atom_site_fract_x
_atom_site_fract_y
_atom_site_fract_z
Pm1 Pm 0.000 0.500 0.000
Ti1 Ti 0.000 0.000 0.558
Fe1 Fe 0.500 0.500 0.609
O1 O 0.000 0.000 0.105
O2 O 0.245 0.245 0.632
O3 O 0.500 0.500 0.107